12
Lattice="-0.227 -4.952 3.064 5.144 2.121 -1.734 0.463 3.406 5.539" Properties=species:S:1:pos:R:3 comment="PBE+U V2HgPbO8, relaxed" e_tot_ev_per_atom=-6.120 pbc="T T T"
V 1.658 -1.898 2.598
V 3.722 2.472 4.271
Hg 0.000 0.000 0.000
O 4.482 0.880 4.604
O 2.005 0.657 6.753
O 0.898 -0.305 2.265
O 3.375 -0.083 0.116
O 1.966 2.341 3.916
O 0.768 -2.845 3.837
O 4.611 3.419 3.032
O 3.413 -1.767 2.953
Pb 0.231 1.703 2.770